(1)
Entry from Alexandria via LeMat-Bulk: a relaxed structure of Eu2SeO2 (PBE).

E_form (uncorrected)   -2.421 eV per atom
Calculated density   7.13 g/cm3
Symmetry   P-3m1, No. 164
Spin magnetization   12.028 μB/cell

Lattice parameters (Å, degrees): 3.9423 3.9423 7.1782 90.00 90.00 120.00
Last column: magnetic moment on the atom in μB.
Sites, in units of the cell vectors:
Se: 0.0000 0.0000 0.0000  -0.34
O: 0.3333 0.6667 0.6271  -0.17
Eu: 0.6667 0.3333 0.7031  6.37
Eu: 0.3333 0.6667 0.2969  6.37
O: 0.6667 0.3333 0.3729  -0.17


(2)
Entry from Alexandria via LeMat-Bulk: a relaxed structure of Sc2IrAu (PBE).

Formation enthalpy at 0 K   -906 meV/atom
Calculated density   10.88 g/cm3
Symmetry   P2/m, No. 10
Spin magnetization   0.000 μB/cell

Lattice parameters (Å, degrees): 3.4039 3.1964 7.4384 64.64 90.00 90.00
Sites, in units of the cell vectors:
Sc: 0.0000 0.0156 0.9850
Au: 0.5000 0.2500 0.2500
Ir: 0.5000 0.7500 0.7500
Sc: 0.0000 0.4844 0.5150


(3)
Entry from Alexandria via LeMat-Bulk: a relaxed structure of Pd3PtPb2 (PBE).

Formation enthalpy at 0 K   7 meV/atom
Calculated density   12.59 g/cm3
Symmetry   I4_1/amd, No. 141
Spin magnetization   0.000 μB/cell
Energy above the most stable polymorph in this dataset   159 meV per atom

Lattice parameters (Å, degrees): 8.7002 8.7002 8.9291 119.16 119.16 90.00
Sites, in units of the cell vectors:
Pd: 0.9621 0.0379 0.5000
Pd: 0.5379 0.4621 0.5000
Pb: 0.9037 0.7015 0.8074
Pb: 0.3463 0.6442 0.6926
Pd: 0.2879 0.7121 0.0000
Pt: 0.3976 0.3976 0.7952
Pb: 0.9037 0.1058 0.8074
Pb: 0.9515 0.6537 0.3074
Pd: 0.6250 0.8750 0.7500
Pd: 0.1250 0.8750 0.7500
Pb: 0.3558 0.6537 0.3074
Pb: 0.2985 0.0963 0.1926
Pd: 0.1250 0.3750 0.2500
Pt: 0.8524 0.3524 0.7048
Pb: 0.8942 0.0963 0.1926
Pd: 0.9621 0.4621 0.5000
Pt: 0.6024 0.6024 0.2048
Pd: 0.7121 0.2879 0.0000
Pd: 0.7121 0.7121 0.0000
Pb: 0.3463 0.0485 0.6926
Pd: 0.1250 0.8750 0.2500
Pt: 0.6476 0.1476 0.2952
Pd: 0.5379 0.0379 0.5000
Pd: 0.2879 0.2879 0.0000


(4)
Entry from Alexandria via LeMat-Bulk: a relaxed structure of CrSiMo2 (PBE).

E_form (uncorrected)   0.030 eV per atom
Calculated density   7.96 g/cm3
Symmetry   Cmmm, No. 65
Spin magnetization   0.000 μB/cell

Lattice parameters (Å, degrees): 2.7196 2.7196 8.0825 90.00 90.00 108.32
Sites, in units of the cell vectors:
Si: 0.5000 0.5000 0.2500
Mo: 0.0000 0.0000 0.0013
Cr: 0.5000 0.5000 0.7500
Mo: 0.0000 0.0000 0.4987


(5)
Entry from Alexandria via LeMat-Bulk: a relaxed structure of KVCdFe2 (PBE).

Formation enthalpy at 0 K   954 meV/atom
Calculated density   4.67 g/cm3
Symmetry   P4/mmm, No. 123
Spin magnetization   2.923 μB/cell
Energy above the most stable polymorph in this dataset   0 meV per atom

Lattice parameters (Å, degrees): 4.5280 5.4440 4.5280 90.00 90.00 90.00
Last column: magnetic moment on the atom in μB.
Sites, in units of the cell vectors:
Fe: 0.5000 0.0000 0.0000  2.18
V: 0.0000 0.0000 0.0000  -1.68
K: 0.5000 0.5000 0.5000  0.00
Fe: 0.0000 0.0000 0.5000  2.55
Cd: 0.0000 0.5000 0.0000  -0.01


(6)
Entry from Alexandria via LeMat-Bulk: a relaxed structure of La5Nd3Tm (PBE).

Formation enthalpy at 0 K   266 meV/atom
Calculated density   6.64 g/cm3
Symmetry   I4/mcm, No. 140
Spin magnetization   0.000 μB/cell

Lattice parameters (Å, degrees): 9.1202 9.1202 10.1159 116.79 116.79 90.00
Sites, in units of the cell vectors:
La: 0.5000 0.5000 0.0000
La: 0.4293 0.3524 0.2817
La: 0.3524 0.8524 0.2817
Nd: 0.3851 0.8851 0.0000
Nd: 0.1149 0.3851 0.0000
Nd: 0.6149 0.1149 0.0000
La: 0.5707 0.6476 0.7183
Nd: 0.2500 0.2500 0.5000
La: 0.6476 0.1476 0.7183
Tm: 0.2500 0.7500 0.5000
La: 0.0000 0.0000 0.0000
Nd: 0.7500 0.7500 0.5000
La: 0.9293 0.4293 0.2817
La: 0.8524 0.9293 0.2817
Nd: 0.8851 0.6149 0.0000
La: 0.1476 0.0707 0.7183
Tm: 0.7500 0.2500 0.5000
La: 0.0707 0.5707 0.7183